(1)
# ScBe17Cr (PBE, optimized geometry)
data_ScBe17Cr
_chemical_formula_sum 'Sc1 Be17 Cr1'
_space_group_name_H-M_alt 'P 1'
_space_group_IT_number 1
_cell_length_a 5.567
_cell_length_b 5.567
_cell_length_c 5.567
_cell_angle_alpha 82.89
_cell_angle_beta 82.89
_cell_angle_gamma 82.89
loop_
_space_group_symop_operation_xyz
'x,y,z'
loop_
_atom_site_label
_atom_site_fract_x
_atom_site_fract_y
_atom_site_fract_z
Sc1 0.661 0.661 0.661
Be1 0.293 0.004 0.702
Be2 0.702 0.293 0.004
Be3 0.004 0.702 0.293
Be4 0.293 0.702 0.004
Be5 0.004 0.293 0.702
Be6 0.702 0.004 0.293
Be7 0.343 0.849 0.343
Be8 0.343 0.343 0.849
Be9 0.849 0.343 0.343
Be10 0.651 0.164 0.651
Be11 0.651 0.651 0.164
Be12 0.164 0.651 0.651
Be13 0.999 0.502 0.999
Be14 0.999 0.999 0.502
Be15 0.502 0.999 0.999
Be16 0.905 0.905 0.905
Be17 0.102 0.102 0.102
Cr1 0.332 0.332 0.332
# energy of formation	-113	meV/atom
# calculated total energy	-4.286	eV/atom

=====

(2)
# ScBeCr (PBE, optimized geometry)
data_ScBeCr
_chemical_formula_sum 'Sc4 Be4 Cr4'
_space_group_name_H-M_alt 'P 1'
_space_group_IT_number 1
_cell_length_a 3.916
_cell_length_b 5.326
_cell_length_c 8.611
_cell_angle_alpha 90.00
_cell_angle_beta 97.08
_cell_angle_gamma 90.00
loop_
_space_group_symop_operation_xyz
'x,y,z'
loop_
_atom_site_label
_atom_site_fract_x
_atom_site_fract_y
_atom_site_fract_z
Sc1 0.232 0.000 0.934
Sc2 0.232 0.500 0.434
Sc3 0.167 0.000 0.270
Sc4 0.167 0.500 0.770
Cr1 0.246 0.000 0.598
Cr2 0.246 0.500 0.098
Cr3 0.716 0.000 0.730
Cr4 0.716 0.500 0.230
Be1 0.737 0.202 0.485
Be2 0.737 0.798 0.485
Be3 0.737 0.702 0.985
Be4 0.737 0.298 0.985
# energy of formation	182	meV/atom
# excess energy over the best structure of this formula in the dataset	0.1255	eV/atom
# calculated total energy	-6.379	eV/atom

=====

(3)
# ScBe3Cr (PBE, optimized geometry)
data_ScBe3Cr
_chemical_formula_sum 'Sc1 Be3 Cr1'
_space_group_name_H-M_alt 'P 1'
_space_group_IT_number 1
_cell_length_a 4.097
_cell_length_b 4.097
_cell_length_c 4.097
_cell_angle_alpha 90.00
_cell_angle_beta 90.00
_cell_angle_gamma 90.00
loop_
_space_group_symop_operation_xyz
'x,y,z'
loop_
_atom_site_label
_atom_site_fract_x
_atom_site_fract_y
_atom_site_fract_z
Sc1 0.500 0.500 0.500
Cr1 0.000 0.000 0.000
Be1 0.000 0.500 0.000
Be2 0.000 0.000 0.500
Be3 0.500 0.000 0.000
# energy of formation	584	meV/atom
# calculated total energy	-4.842	eV/atom

=====

(4)
# Sc2BeCr (PBE, optimized geometry)
data_Sc2BeCr
_chemical_formula_sum 'Sc2 Be1 Cr1'
_space_group_name_H-M_alt 'P 1'
_space_group_IT_number 1
_cell_length_a 4.140
_cell_length_b 3.266
_cell_length_c 5.458
_cell_angle_alpha 72.65
_cell_angle_beta 90.00
_cell_angle_gamma 90.00
loop_
_space_group_symop_operation_xyz
'x,y,z'
loop_
_atom_site_label
_atom_site_fract_x
_atom_site_fract_y
_atom_site_fract_z
Sc1 0.000 0.975 0.927
Sc2 0.500 0.276 0.324
Cr1 0.500 0.566 0.743
Be1 0.000 0.683 0.506
# energy of formation	169	meV/atom
# calculated total energy	-6.334	eV/atom

=====

(5)
# ScBeCr (PBE, optimized geometry)
data_ScBeCr
_chemical_formula_sum 'Sc2 Be2 Cr2'
_space_group_name_H-M_alt 'P 1'
_space_group_IT_number 1
_cell_length_a 3.116
_cell_length_b 5.137
_cell_length_c 6.057
_cell_angle_alpha 97.53
_cell_angle_beta 104.67
_cell_angle_gamma 106.76
loop_
_space_group_symop_operation_xyz
'x,y,z'
loop_
_atom_site_label
_atom_site_fract_x
_atom_site_fract_y
_atom_site_fract_z
Sc1 0.778 0.863 0.707
Sc2 0.222 0.137 0.293
Cr1 0.643 0.342 0.944
Cr2 0.357 0.658 0.056
Be1 0.964 0.585 0.346
Be2 0.036 0.415 0.654
# energy of formation	83	meV/atom
# excess energy over the best structure of this formula in the dataset	0.0269	eV/atom
# calculated total energy	-6.477	eV/atom

=====

(6)
# ScBeCr2 (PBE, optimized geometry)
data_ScBeCr2
_chemical_formula_sum 'Sc2 Be2 Cr4'
_space_group_name_H-M_alt 'P 1'
_space_group_IT_number 1
_cell_length_a 3.528
_cell_length_b 3.528
_cell_length_c 9.237
_cell_angle_alpha 78.99
_cell_angle_beta 78.99
_cell_angle_gamma 90.00
loop_
_space_group_symop_operation_xyz
'x,y,z'
loop_
_atom_site_label
_atom_site_fract_x
_atom_site_fract_y
_atom_site_fract_z
Sc1 0.000 0.000 0.000
Sc2 0.750 0.250 0.500
Cr1 0.156 0.125 0.250
Cr2 0.594 0.625 0.250
Cr3 0.375 0.844 0.750
Cr4 0.875 0.406 0.750
Be1 0.500 0.500 0.000
Be2 0.250 0.750 0.500
# energy of formation	619	meV/atom
# calculated total energy	-6.707	eV/atom

=====

(7)
# ScBeCr (PBE, optimized geometry)
data_ScBeCr
_chemical_formula_sum 'Sc1 Be1 Cr1'
_space_group_name_H-M_alt 'P 1'
_space_group_IT_number 1
_cell_length_a 4.141
_cell_length_b 4.141
_cell_length_c 4.141
_cell_angle_alpha 60.00
_cell_angle_beta 60.00
_cell_angle_gamma 60.00
loop_
_space_group_symop_operation_xyz
'x,y,z'
loop_
_atom_site_label
_atom_site_fract_x
_atom_site_fract_y
_atom_site_fract_z
Sc1 0.500 0.500 0.500
Cr1 0.000 0.000 0.000
Be1 0.750 0.750 0.750
# energy of formation	470	meV/atom
# excess energy over the best structure of this formula in the dataset	0.4140	eV/atom
# calculated total energy	-6.090	eV/atom

=====

(8)
# Sc2BeCr (PBE, optimized geometry)
data_Sc2BeCr
_chemical_formula_sum 'Sc2 Be1 Cr1'
_space_group_name_H-M_alt 'P 1'
_space_group_IT_number 1
_cell_length_a 9.893
_cell_length_b 9.893
_cell_length_c 9.893
_cell_angle_alpha 17.24
_cell_angle_beta 17.24
_cell_angle_gamma 17.24
loop_
_space_group_symop_operation_xyz
'x,y,z'
loop_
_atom_site_label
_atom_site_fract_x
_atom_site_fract_y
_atom_site_fract_z
Sc1 0.907 0.907 0.907
Sc2 0.093 0.093 0.093
Cr1 0.500 0.500 0.500
Be1 0.000 0.000 0.000
# energy of formation	777	meV/atom
# calculated total energy	-5.726	eV/atom